BeB | PBE | relaxed

a b c (Å): 2.976 2.976 4.016
angles (deg): 90.00 90.00 120.00
Fractional coordinates of all 4 atoms:
Be: 0.667 0.333 0.955
Be: 0.333 0.667 0.597
B: 0.333 0.667 0.133
B: 0.000 0.000 0.251

Output
- SG = P3m1
- density (g cm⁻³) = 2.14
- M_tot (μB/cell) = 0.00
- calculated formation energy (kJ per mole of atoms) = 13.5
- energy above the most stable polymorph in this dataset (meV/atom) = 110